Here is a relaxed structure of CuGePO2 from the Alexandria database. Energies are from PBE.

Computed properties:
Formation energy from raw total energies, eV/atom: 0.184
Density of states at the Fermi level, states/eV per cell: 3.55
Calculated volume, Å³ per cell: 66.1
Energy above the lowest structure with this stoichiometry, meV/atom: 374.0

Lattice parameters (Å, degrees): 3.735 3.735 4.741 90.00 90.00 90.00
Sites, in units of the cell vectors:
Cu1 0.000 0.000 0.000
Ge1 0.500 0.500 0.500
P1 0.000 0.000 0.500
O1 0.000 0.500 0.000
O2 0.500 0.000 0.000



Here is a relaxed structure of TmLuTlIr from the Alexandria database. Energies are from PBE.

Computed properties:
Density of states at the Fermi level, states/eV per cell: 1.18
Calculated volume, Å³ per cell: 89.0
Energy relative to the elements, eV/atom: -0.528

Lattice parameters (Å, degrees): 5.012 5.012 5.012 60.00 60.00 60.00
Sites, in units of the cell vectors:
Tm1 0.000 0.000 0.000
Lu1 0.500 0.500 0.500
Tl1 0.250 0.250 0.250
Ir1 0.750 0.750 0.750



Here is a relaxed structure of SrZn2Ru from the Alexandria database. Energies are from PBE.

Computed properties:
Density of states at the Fermi level, states/eV per cell: 2.96
Calculated volume, Å³ per cell: 77.5
Energy relative to the elements, eV/atom: 0.345

Lattice parameters (Å, degrees): 5.174 5.174 5.174 130.84 130.84 72.06
Sites, in units of the cell vectors:
Sr1 0.000 0.000 0.000
Zn1 0.250 0.750 0.500
Zn2 0.500 0.500 0.000
Ru1 0.750 0.250 0.500